## YZr2H2 (PBE-GGA)

Data for an optimized crystal structure of YZr2H2.

Calculated values
symmetry = P4/mbm, No. 127
DOS(E_F) = 9.41 states/eV per cell
V = 182.4 Å³/cell
density = 5.0 g/cm3
E above lowest polymorph = 0.809 eV per atom

Cell: 7.874 7.874 2.942 Å, 90.00 90.00 90.00°
Positions (direct):
Y (0.000, 0.000, 0.000)
Y (0.500, 0.500, 0.000)
Zr (0.125, 0.375, 0.000)
Zr (0.375, 0.875, 0.000)
Zr (0.625, 0.125, 0.000)
Zr (0.875, 0.625, 0.000)
H (0.091, 0.591, 0.500)
H (0.409, 0.091, 0.500)
H (0.591, 0.909, 0.500)
H (0.909, 0.409, 0.500)

---

## TaSi2Ir (PBE-GGA)

Data for an optimized crystal structure of TaSi2Ir.

Calculated values
raw formation energy = -0.2114 eV/atom
symmetry = R3m, No. 160
DOS(E_F) = 8.77 states/eV per cell
V = 180.3 Å³/cell
density = 11.9 g/cm3

Cell: 2.927 2.927 24.300 Å, 90.00 90.00 120.00°
Positions (direct):
Ta (0.000, 0.000, 0.000)
Ta (0.333, 0.667, 0.667)
Ta (0.667, 0.333, 0.333)
Si (0.000, 0.000, 0.498)
Si (0.000, 0.000, 0.753)
Si (0.333, 0.667, 0.164)
Si (0.333, 0.667, 0.420)
Si (0.667, 0.333, 0.087)
Si (0.667, 0.333, 0.831)
Ir (0.000, 0.000, 0.239)
Ir (0.333, 0.667, 0.906)
Ir (0.667, 0.333, 0.573)

---

- Which formula does entry 1 have?
  YZr2H2

---

What did the first record say?
## YZr2H2 (PBE-GGA)

Data for an optimized crystal structure of YZr2H2.

Calculated values
symmetry = P4/mbm, No. 127
DOS(E_F) = 9.41 states/eV per cell
V = 182.4 Å³/cell
density = 5.0 g/cm3
E above lowest polymorph = 0.809 eV per atom

Cell: 7.874 7.874 2.942 Å, 90.00 90.00 90.00°
Positions (direct):
Y (0.000, 0.000, 0.000)
Y (0.500, 0.500, 0.000)
Zr (0.125, 0.375, 0.000)
Zr (0.375, 0.875, 0.000)
Zr (0.625, 0.125, 0.000)
Zr (0.875, 0.625, 0.000)
H (0.091, 0.591, 0.500)
H (0.409, 0.091, 0.500)
H (0.591, 0.909, 0.500)
H (0.909, 0.409, 0.500)